A plane-wave DFT calculation with meta-GGA SCAN was carried out for a crystal of CrPtIN2 relaxed with PBEsol.

- size of the total moment (μB per cell) = 4.7
- space-group type = No. 123
- theoretical density (g/cm³) = 6.22
- ΔE_f (raw) (kJ/mol of atoms) = 101
- crystal system = tetragonal

a b c (Å): 3.7750 3.7750 7.5251
angles (deg): 90.00 90.00 90.00
Positions (direct):
Cr 0.0000 0.0000 0.0000
Pt 0.5000 0.5000 0.5000
I 0.5000 0.5000 0.0000
N 0.0000 0.5000 0.5000
N 0.5000 0.0000 0.5000